Below is CsSnHg2Au after structural relaxation, with properties calculated at the PBE-GGA level.

Geometry as CIF:
```
data_CsSnHg2Au
_chemical_formula_sum 'Cs1 Sn1 Hg2 Au1'
_cell_length_a 5.9014
_cell_length_b 5.9014
_cell_length_c 5.4345
_cell_angle_alpha 90.00
_cell_angle_beta 90.00
_cell_angle_gamma 90.00
_symmetry_space_group_name_H-M 'P 4/m m m'
_symmetry_Int_Tables_number 123
_symmetry_space_group_name_Hall '-P 4 2'
loop_
_atom_site_label
_atom_site_type_symbol
_atom_site_fract_x
_atom_site_fract_y
_atom_site_fract_z
Cs1 Cs 0.0000 0.0000 0.0000
Sn1 Sn 0.5000 0.5000 0.5000
Hg1 Hg 0.0000 0.5000 0.5000
Au1 Au 0.5000 0.5000 0.0000
```

Raw total energy = -9.4 eV per cell
ρ = 7.5 g/cm³
Energy of formation = -0.137 eV/atom
Volume = 189 Å³/cell
Size of the total moment = 0.000 μB/atom
Excess energy over the best structure of this formula in the dataset = 0 meV per atom

Below is CsSnHg2Au after structural relaxation, with properties calculated at the PBE-GGA level.

Geometry as CIF:
```
data_CsSnHg2Au
_chemical_formula_sum 'Cs1 Sn1 Hg2 Au1'
_cell_length_a 5.6556
_cell_length_b 5.6556
_cell_length_c 5.4487
_cell_angle_alpha 90.00
_cell_angle_beta 90.00
_cell_angle_gamma 90.00
_symmetry_space_group_name_H-M 'P 4/m m m'
_symmetry_Int_Tables_number 123
_symmetry_space_group_name_Hall '-P 4 2'
loop_
_atom_site_label
_atom_site_type_symbol
_atom_site_fract_x
_atom_site_fract_y
_atom_site_fract_z
Cs1 Cs 0.0000 0.0000 0.0000
Sn1 Sn 0.5000 0.5000 0.0000
Hg1 Hg 0.0000 0.5000 0.5000
Au1 Au 0.5000 0.5000 0.5000
```

Raw total energy = -9.0 eV per cell
ρ = 8.1 g/cm³
Energy of formation = -0.044 eV/atom
Volume = 174 Å³/cell
Size of the total moment = 0.000 μB/atom
Excess energy over the best structure of this formula in the dataset = 93 meV per atom

Below is Cs2SnHgAu after structural relaxation, with properties calculated at the PBE-GGA level.

Geometry as CIF:
```
data_Cs2SnHgAu
_chemical_formula_sum 'Cs2 Sn1 Hg1 Au1'
_cell_length_a 7.1289
_cell_length_b 7.1289
_cell_length_c 5.1443
_cell_angle_alpha 90.00
_cell_angle_beta 90.00
_cell_angle_gamma 90.00
_symmetry_space_group_name_H-M 'P 4/m m m'
_symmetry_Int_Tables_number 123
_symmetry_space_group_name_Hall '-P 4 2'
loop_
_atom_site_label
_atom_site_type_symbol
_atom_site_fract_x
_atom_site_fract_y
_atom_site_fract_z
Cs1 Cs 0.0000 0.5000 0.0000
Sn1 Sn 0.0000 0.0000 0.5000
Hg1 Hg 0.5000 0.5000 0.5000
Au1 Au 0.0000 0.0000 0.0000
```

Raw total energy = -10.1 eV per cell
ρ = 5.0 g/cm³
Energy of formation = -0.161 eV/atom
Volume = 261 Å³/cell
Size of the total moment = 0.000 μB/atom
Excess energy over the best structure of this formula in the dataset = 0 meV per atom